No. 1
Density functional theory data (PBE-GGA) for an optimized crystal structure of LaCSe.

a b c (Å): 5.927 6.020 7.973
angles (deg): 90.00 90.00 90.00
Space group C222 (No. 21)
Symmetry-distinct sites (fractional):
La1 0.250 0.250 0.248 x4
C1 0.107 0.000 0.500 x4
Se1 0.250 0.250 0.853 x4

Calculated values
polymorph energy (0 for the lowest one): 0.17 eV/f.u.

***

No. 2
Density functional theory data (PBE-GGA) for an optimized crystal structure of LaTbNd2Er4.

a b c (Å): 7.228 7.230 9.981
angles (deg): 89.96 89.96 89.65
Space group P-1 (No. 2)
Symmetry-distinct sites (fractional):
La1 0.000 0.000 0.000 x1
La2 0.000 0.500 0.000 x1
Tb1 0.000 0.000 0.500 x1
Tb2 0.500 0.000 0.000 x1
Nd1 0.000 0.500 0.500 x1
Nd2 0.500 0.000 0.500 x1
Nd3 0.500 0.500 0.000 x1
Nd4 0.500 0.500 0.500 x1
Er1 0.251 0.248 0.251 x2
Er2 0.251 0.248 0.749 x2
Er3 0.251 0.752 0.252 x2
Er4 0.251 0.752 0.748 x2

Calculated values
formation energy: 0.147 eV per formula unit

***

No. 3
Density functional theory data (PBE-GGA) for an optimized crystal structure of BeHgS2.

a b c (Å): 7.111 7.111 5.702
angles (deg): 90.00 90.00 90.00
Space group I4/mcm (No. 140)
Symmetry-distinct sites (fractional):
Be1 0.000 0.500 0.250 x4
Hg1 0.000 0.000 0.250 x4
S1 0.157 0.343 0.000 x8

Calculated values
polymorph energy (0 for the lowest one): 1.54 eV/f.u.

***

No. 4
Density functional theory data (PBE-GGA) for an optimized crystal structure of Bi2Sb2Se.

a b c (Å): 8.387 8.387 4.340
angles (deg): 90.00 90.00 90.00
Space group P4/mbm (No. 127)
Symmetry-distinct sites (fractional):
Bi1 0.184 0.316 0.000 x4
Sb1 0.129 0.629 0.500 x4
Se1 0.000 0.000 0.000 x2

Calculated values
polymorph energy (0 for the lowest one): 0.10 eV/f.u.

***

No. 5
Density functional theory data (PBE-GGA) for an optimized crystal structure of Ca2PmHg.

a b c (Å): 4.856 4.856 5.311
angles (deg): 90.00 90.00 90.00
Space group P4/mmm (No. 123)
Symmetry-distinct sites (fractional):
Ca1 0.000 0.500 0.000 x2
Pm1 0.000 0.000 0.500 x1
Hg1 0.500 0.500 0.500 x1

Calculated values
formation energy: -0.554 eV per formula unit
polymorph energy (0 for the lowest one): 0.25 eV/f.u.

***

No. 6
Density functional theory data (PBE-GGA) for an optimized crystal structure of RbAlSe3.

a b c (Å): 8.407 12.919 6.859
angles (deg): 90.00 116.61 90.00
Space group Cc (No. 9)
Symmetry-distinct sites (fractional):
Rb1 0.000 0.166 0.000 x4
Al1 0.027 0.475 0.597 x4
Se1 0.206 0.428 0.971 x4
Se2 0.261 0.070 0.550 x4
Se3 0.401 0.177 0.871 x4

Calculated values
polymorph energy (0 for the lowest one): 0.00 eV/f.u.

***

No. 7
Density functional theory data (PBE-GGA) for an optimized crystal structure of MnOsW2.

a b c (Å): 2.7439 2.7439 27.3428
angles (deg): 90.00 90.00 120.00
Space group R3m (No. 160, hexagonal axes)
Symmetry-distinct sites (fractional):
Mn1 0.0000 0.0000 0.0000 x3
Os1 0.0000 0.0000 0.7427 x3
W1 0.0000 0.0000 0.2522 x3
W2 0.0000 0.0000 0.4940 x3

Calculated values
formation energy: 1.195 eV per formula unit
polymorph energy (0 for the lowest one): 0.77 eV/f.u.

***

No. 8
Density functional theory data (PBE-GGA) for an optimized crystal structure of La2Tb4Tl.

a b c (Å): 5.837 6.725 11.726
angles (deg): 90.00 103.18 90.00
Space group P2_1/m (No. 11)
Symmetry-distinct sites (fractional):
La1 0.018 0.250 0.474 x2
La2 0.345 0.750 0.080 x2
Tb1 0.151 0.007 0.784 x4
Tb2 0.207 0.250 0.063 x2
Tb3 0.414 0.750 0.377 x2
Tl1 0.448 0.250 0.331 x2

Calculated values
formation energy: -0.094 eV per formula unit

***

No. 9
Density functional theory data (PBE-GGA) for an optimized crystal structure of Nd2SbTe.

a b c (Å): 4.5084 4.5084 22.2270
angles (deg): 90.00 90.00 120.00
Space group R-3m (No. 166, hexagonal axes)
Symmetry-distinct sites (fractional):
Nd1 0.0000 0.0000 0.2466 x6
Sb1 0.0000 0.0000 0.5000 x3
Te1 0.0000 0.0000 0.0000 x3

Calculated values
polymorph energy (0 for the lowest one): 0.00 eV/f.u.

***

No. 10
Density functional theory data (PBE-GGA) for an optimized crystal structure of Sm4ZnGe3.

a b c (Å): 4.103 4.348 11.095
angles (deg): 90.00 90.00 90.00
Space group Pmm2 (No. 25)
Symmetry-distinct sites (fractional):
Sm1 0.000 0.000 0.000 x1
Sm2 0.000 0.500 0.497 x1
Sm3 0.500 0.000 0.276 x1
Sm4 0.500 0.500 0.779 x1
Zn1 0.500 0.000 0.568 x1
Ge1 0.000 0.000 0.717 x1
Ge2 0.000 0.500 0.218 x1
Ge3 0.500 0.500 0.055 x1

Calculated values
formation energy: -5.824 eV per formula unit

***

No. 11
Density functional theory data (PBE-GGA) for an optimized crystal structure of SrSnTeSe.

a b c (Å): 4.753 4.504 6.348
angles (deg): 90.00 90.06 90.00
Space group Pm (No. 6)
Symmetry-distinct sites (fractional):
Sr1 0.000 0.000 0.000 x1
Sn1 0.428 0.500 0.501 x1
Te1 0.496 0.500 0.001 x1
Se1 0.049 0.000 0.500 x1

Calculated values
E: -4.1657 eV/atom

***

No. 12
Density functional theory data (PBE-GGA) for an optimized crystal structure of MgCd6Sn2.

a b c (Å): 12.652 5.812 6.151
angles (deg): 90.00 95.11 90.00
Space group C2/m (No. 12)
Symmetry-distinct sites (fractional):
Mg1 0.000 0.000 0.000 x2
Cd1 0.120 0.246 0.398 x8
Cd2 0.209 0.000 0.836 x4
Sn1 0.092 0.500 0.850 x4

Calculated values
formation energy: 0.277 eV per formula unit